Record 1
Material: PrY6Tm12
Method: DFT, PBE
State: relaxed

N(E_F): 129.0 states/eV per cell
E above lowest polymorph: 0.000 eV/f.u.
Volume: 609 Å³/f.u.
Total DFT energy (no corrections): -4.920 eV per atom

Unit cell a=12.2312 b=12.2312 c=14.1086 alpha=90.00 beta=90.00 gamma=120.00
Space group R-3 (No. 148, hexagonal axes)
Asymmetric unit:
Pr  0.0000  0.0000  0.0000 x3
Y  0.0252  0.5892  0.7131 x18
Tm  0.0494  0.8670  0.8052 x18
Tm  0.0667  0.1950  0.4055 x18

Record 2
Material: Ho3Sn2Pt
Method: DFT, PBE
State: relaxed

N(E_F): 14.7 states/eV per cell
Volume: 157 Å³/f.u.
Total DFT energy (no corrections): -5.519 eV per atom

Unit cell a=12.1285 b=4.4857 c=11.5113 alpha=90.00 beta=90.00 gamma=90.00
Space group Pnma (No. 62)
Asymmetric unit:
Ho  0.0533  0.2500  0.1285 x4
Ho  0.1218  0.7500  0.5533 x4
Ho  0.2362  0.2500  0.7988 x4
Sn  0.0019  0.2500  0.6942 x4
Sn  0.1860  0.7500  0.0059 x4
Pt  0.1226  0.2500  0.3720 x4

Record 3
Material: YCo2Cl
Method: DFT, PBE
State: relaxed

N(E_F): 11.1 states/eV per cell
E above lowest polymorph: 2.620 eV/f.u.
Uncorrected formation energy: 238.7 meV/atom
Volume: 76 Å³/f.u.
Total DFT energy (no corrections): -5.392 eV per atom

Unit cell a=5.0829 b=8.8400 c=3.3697 alpha=90.00 beta=90.00 gamma=90.00
Space group Cmmm (No. 65)
Asymmetric unit:
Y  0.0000  0.0000  0.0000 x2
Co  0.2500  0.2500  0.5000 x4
Cl  0.0000  0.5000  0.0000 x2

Record 4
Material: LiFe2Sb
Method: DFT, PBE
State: relaxed

N(E_F): 3.0 states/eV per cell
Uncorrected formation energy: -40.4 meV/atom
Volume: 54 Å³/f.u.
Total DFT energy (no corrections): -5.781 eV per atom

Unit cell a=4.2517 b=4.2517 c=6.0020 alpha=90.00 beta=90.00 gamma=90.00
Space group I-4m2 (No. 119)
Asymmetric unit:
Li  0.0000  0.0000  0.0000 x2
Fe  0.0000  0.0000  0.5000 x2
Fe  0.0000  0.5000  0.7500 x2
Sb  0.0000  0.5000  0.2500 x2